# 1
Material: Tb2NdHoTm6
Method: DFT, GGA-PBE
State: optimized geometry

a = 9.4617 Å, b = 8.7132 Å, c = 8.7132 Å
α = 117.92°, β = 93.72°, γ = 93.72°
With the nearest neighbours (Å) after each atom.
Fractional positions:
Tb1 0.4541 0.8030 0.6966  6 Tm 3.24-3.55, 2 Nd 3.35-3.39, 1 Ho 3.51
Tb2 0.0459 0.3034 0.1970  6 Tm 3.24-3.55, 2 Nd 3.35-3.39, 1 Ho 3.51
Tb3 0.5459 0.1970 0.3034  6 Tm 3.24-3.55, 2 Nd 3.35-3.39, 1 Ho 3.51
Tb4 0.9541 0.6966 0.8030  6 Tm 3.24-3.55, 2 Nd 3.35-3.39, 1 Ho 3.51
Ho1 0.2500 0.4093 0.5907  8 Tm 3.39-3.77, 2 Tb 3.51
Ho2 0.7500 0.5907 0.4093  8 Tm 3.39-3.77, 2 Tb 3.51
Tm1 0.9419 0.8745 0.2525  7 Tm 3.37-3.67, 1 Tb 3.49, 1 Nd 3.67, 1 Ho 3.77
Tm2 0.3822 0.5083 0.2913  4 Tm 3.18-3.45, 3 Tb 3.24-3.40, 2 Ho 3.39-3.49
Tm3 0.6178 0.4917 0.7087  4 Tm 3.18-3.45, 3 Tb 3.24-3.40, 2 Ho 3.39-3.49
Tm4 0.6832 0.0202 0.5683  3 Tm 3.18-3.53, 2 Tb 3.36-3.55, 1 Ho 3.45, 1 Nd 3.55
Tm5 0.0581 0.1255 0.7475  7 Tm 3.37-3.67, 1 Tb 3.49, 1 Nd 3.67, 1 Ho 3.77
Tm6 0.5581 0.7475 0.1255  7 Tm 3.37-3.67, 1 Tb 3.49, 1 Nd 3.67, 1 Ho 3.77
Tm7 0.4419 0.2525 0.8745  7 Tm 3.37-3.67, 1 Tb 3.49, 1 Nd 3.67, 1 Ho 3.77
Tm8 0.8168 0.4317 0.9798  3 Tm 3.18-3.53, 2 Tb 3.36-3.55, 1 Ho 3.45, 1 Nd 3.55
Tm9 0.8822 0.2913 0.5083  4 Tm 3.18-3.45, 3 Tb 3.24-3.40, 2 Ho 3.39-3.49
Tm10 0.1832 0.5683 0.0202  3 Tm 3.18-3.53, 2 Tb 3.36-3.55, 1 Ho 3.45, 1 Nd 3.55
Tm11 0.1178 0.7087 0.4917  4 Tm 3.18-3.45, 3 Tb 3.24-3.40, 2 Ho 3.39-3.49
Tm12 0.3168 0.9798 0.4317  3 Tm 3.18-3.53, 2 Tb 3.36-3.55, 1 Ho 3.45, 1 Nd 3.55
Nd1 0.2500 0.9758 0.0242  4 Tb 3.35-3.39, 4 Tm 3.55-3.67
Nd2 0.7500 0.0242 0.9758  4 Tb 3.35-3.39, 4 Tm 3.55-3.67

Final energy, eV per atom: -4.42
Theoretical density, g/cm3: 8.65
Symmetry: C2/c, No. 15
Energy relative to the elements, meV per atom: 122
Density of states at the Fermi level, states/eV per cell: 28.6

***

# 2
Material: Tb6NdHoTm2
Method: DFT, GGA-PBE
State: optimized geometry

a = 9.4775 Å, b = 8.7782 Å, c = 8.7782 Å
α = 117.28°, β = 93.33°, γ = 93.33°
With the nearest neighbours (Å) after each atom.
Fractional positions:
Tb1 0.9440 0.8799 0.2453  7 Tb 3.40-3.73, 1 Tm 3.49, 2 Nd 3.67-3.80
Tb2 0.4440 0.2453 0.8799  7 Tb 3.40-3.73, 1 Tm 3.49, 2 Nd 3.67-3.80
Tb3 0.3826 0.5126 0.2922  4 Tb 3.20-3.51, 3 Tm 3.27-3.42, 2 Ho 3.41-3.51
Tb4 0.1174 0.7078 0.4874  4 Tb 3.20-3.51, 3 Tm 3.27-3.42, 2 Ho 3.41-3.51
Tb5 0.0560 0.1201 0.7547  7 Tb 3.40-3.73, 1 Tm 3.49, 2 Nd 3.67-3.80
Tb6 0.8826 0.2922 0.5126  4 Tb 3.20-3.51, 3 Tm 3.27-3.42, 2 Ho 3.41-3.51
Tb7 0.6827 0.0136 0.5615  3 Tb 3.20-3.56, 2 Tm 3.40-3.57, 1 Ho 3.44, 1 Nd 3.56
Tb8 0.1827 0.5615 0.0136  3 Tb 3.20-3.56, 2 Tm 3.40-3.57, 1 Ho 3.44, 1 Nd 3.56
Tb9 0.5560 0.7547 0.1201  7 Tb 3.40-3.73, 1 Tm 3.49, 2 Nd 3.67-3.80
Tb10 0.6174 0.4874 0.7078  4 Tb 3.20-3.51, 3 Tm 3.27-3.42, 2 Ho 3.41-3.51
Tb11 0.3173 0.9864 0.4385  3 Tb 3.20-3.56, 2 Tm 3.40-3.57, 1 Ho 3.44, 1 Nd 3.56
Tb12 0.8173 0.4385 0.9864  3 Tb 3.20-3.56, 2 Tm 3.40-3.57, 1 Ho 3.44, 1 Nd 3.56
Nd1 0.7500 0.0284 0.9716  4 Tm 3.38-3.46, 4 Tb 3.56-3.67
Nd2 0.2500 0.9716 0.0284  4 Tm 3.38-3.46, 4 Tb 3.56-3.67
Ho1 0.7500 0.5897 0.4103  6 Tb 3.41-3.51, 2 Tm 3.51
Ho2 0.2500 0.4103 0.5897  6 Tb 3.41-3.51, 2 Tm 3.51
Tm1 0.9520 0.6954 0.7989  6 Tb 3.27-3.57, 2 Nd 3.38-3.46, 1 Ho 3.51
Tm2 0.4520 0.7989 0.6954  6 Tb 3.27-3.57, 2 Nd 3.38-3.46, 1 Ho 3.51
Tm3 0.0480 0.3046 0.2011  6 Tb 3.27-3.57, 2 Nd 3.38-3.46, 1 Ho 3.51
Tm4 0.5480 0.2011 0.3046  6 Tb 3.27-3.57, 2 Nd 3.38-3.46, 1 Ho 3.51

Final energy, eV per atom: -4.49
Theoretical density, g/cm3: 8.24
Symmetry: C2/c, No. 15
Energy relative to the elements, meV per atom: 120
Density of states at the Fermi level, states/eV per cell: 29.4

***

# 3
Material: Tb2Nd4HoTm
Method: DFT, GGA-PBE
State: optimized geometry

a = 5.1432 Å, b = 5.1180 Å, c = 11.2978 Å
α = 63.03°, β = 90.00°, γ = 90.00°
With the nearest neighbours (Å) after each atom.
Fractional positions:
Nd1 0.5000 0.7496 0.2503  4 Tb 3.59-3.60, 2 Ho 3.59, 2 Tm 3.60, 4 Nd 3.63
Nd2 0.5000 0.2504 0.7497  4 Tb 3.59-3.60, 2 Ho 3.59, 2 Tm 3.60, 4 Nd 3.63
Nd3 0.0000 0.7510 0.7492  2 Tm 3.58-3.59, 4 Tb 3.59-3.60, 2 Ho 3.60, 4 Nd 3.63
Nd4 0.0000 0.2490 0.2508  2 Tm 3.58-3.59, 4 Tb 3.59-3.60, 2 Ho 3.60, 4 Nd 3.63
Tb1 0.5000 0.0000 0.5000  8 Nd 3.59, 4 Tm 3.63
Tb2 0.0000 0.0000 0.0000  8 Nd 3.60, 4 Ho 3.63
Tm1 0.0000 0.5000 0.5000  8 Nd 3.58-3.60, 4 Tb 3.63
Ho1 0.5000 0.5000 0.0000  8 Nd 3.59-3.60, 4 Tb 3.63

Final energy, eV per atom: -4.66
Theoretical density, g/cm3: 7.70
Symmetry: Pmmm, No. 47
Energy relative to the elements, meV per atom: 16
Density of states at the Fermi level, states/eV per cell: 10.6

***

# 4
Material: TbNdHoTm3
Method: DFT, GGA-PBE
State: optimized geometry

a = 5.0038 Å, b = 7.9107 Å, c = 10.0098 Å
α = 90.00°, β = 90.00°, γ = 108.44°
With the nearest neighbours (Å) after each atom.
Fractional positions:
Tb1 0.0000 0.0000 0.0000  4 Nd 3.54, 6 Tm 3.55, 2 Ho 3.56
Tb2 0.0000 0.0000 0.5000  4 Nd 3.54, 6 Tm 3.55, 2 Ho 3.56
Nd1 0.4997 0.9994 0.2500  4 Tb 3.54, 6 Tm 3.55, 2 Ho 3.56
Nd2 0.5003 0.0006 0.7500  4 Tb 3.54, 6 Tm 3.55, 2 Ho 3.56
Tm1 0.8318 0.6637 0.2500  2 Ho 3.50, 6 Tm 3.51-3.54, 2 Nd 3.55, 2 Tb 3.55
Tm2 0.3320 0.6641 0.5002  5 Tm 3.51-3.54, 3 Ho 3.51-3.54, 2 Nd 3.55, 2 Tb 3.55
Tm3 0.6680 0.3359 0.0002  5 Tm 3.51-3.54, 3 Ho 3.51-3.54, 2 Nd 3.55, 2 Tb 3.55
Tm4 0.3320 0.6641 0.9998  5 Tm 3.51-3.54, 3 Ho 3.51-3.54, 2 Nd 3.55, 2 Tb 3.55
Tm5 0.1682 0.3363 0.7500  2 Ho 3.50, 6 Tm 3.51-3.54, 2 Nd 3.55, 2 Tb 3.55
Tm6 0.6680 0.3359 0.4998  5 Tm 3.51-3.54, 3 Ho 3.51-3.54, 2 Nd 3.55, 2 Tb 3.55
Ho1 0.1684 0.3369 0.2500  8 Tm 3.50-3.54, 2 Tb 3.56, 2 Nd 3.56
Ho2 0.8316 0.6631 0.7500  8 Tm 3.50-3.54, 2 Tb 3.56, 2 Nd 3.56

Final energy, eV per atom: -4.54
Theoretical density, g/cm3: 8.61
Symmetry: Cmcm, No. 63
Energy relative to the elements, meV per atom: 25
Density of states at the Fermi level, states/eV per cell: 16.5

***

# 5
Material: Tb2NdHo2Tm
Method: DFT, GGA-PBE
State: optimized geometry

a = 5.5984 Å, b = 9.7626 Å, c = 6.9409 Å
α = 90.00°, β = 90.00°, γ = 90.00°
With the nearest neighbours (Å) after each atom.
Fractional positions:
Ho1 0.0000 0.6667 0.2486  5 Tb 3.24-3.49
Ho2 0.5000 0.8333 0.7486  5 Tb 3.24-3.49
Ho3 0.5000 0.1667 0.2514  5 Tb 3.24-3.49
Ho4 0.0000 0.3333 0.7514  5 Tb 3.24-3.49
Tm1 0.0000 0.0000 0.5000  2 Nd 3.47, 6 Tb 3.67-3.69, 6 Ho 3.67-3.69
Tm2 0.5000 0.5000 0.0000  2 Nd 3.47, 6 Tb 3.67-3.69, 6 Ho 3.67-3.69
Tb1 0.0000 0.3334 0.2485  5 Ho 3.24-3.49
Tb2 0.5000 0.8334 0.2515  5 Ho 3.24-3.49
Tb3 0.5000 0.1666 0.7485  5 Ho 3.24-3.49
Tb4 0.0000 0.6666 0.7515  5 Ho 3.24-3.49
Nd1 0.0000 0.0000 0.0000  2 Tm 3.47, 6 Ho 3.68, 6 Tb 3.68
Nd2 0.5000 0.5000 0.5000  2 Tm 3.47, 6 Ho 3.68, 6 Tb 3.68

Final energy, eV per atom: -4.54
Theoretical density, g/cm3: 8.41
Symmetry: Pnnm, No. 58
Energy relative to the elements, meV per atom: 69
Density of states at the Fermi level, states/eV per cell: 18.6

***

# 6
Material: Tb4Nd2HoTm
Method: DFT, GGA-PBE
State: optimized geometry

a = 10.0870 Å, b = 10.1264 Å, c = 12.3694 Å
α = 114.16°, β = 144.63°, γ = 89.99°
With the nearest neighbours (Å) after each atom.
Fractional positions:
Nd1 0.5000 0.5000 0.0000  2 Ho 3.58, 2 Nd 3.58, 8 Tb 3.60
Nd2 0.5000 0.0000 0.5000  8 Tb 3.57, 2 Tm 3.58, 2 Ho 3.58
Nd3 0.5000 0.0000 0.0000  2 Nd 3.58, 2 Ho 3.58, 8 Tb 3.59-3.60
Nd4 0.0000 0.0000 0.5000  4 Nd 3.58, 8 Tb 3.61
Tb1 0.7492 0.7482 0.9959  2 Tm 3.54-3.55, 4 Tb 3.55-3.61, 2 Ho 3.55-3.58, 4 Nd 3.57-3.61
Tb2 0.2525 0.2519 0.4993  2 Tm 3.53-3.55, 4 Tb 3.55-3.61, 2 Ho 3.56-3.58, 4 Nd 3.57-3.61
Tb3 0.2539 0.7481 0.5006  2 Tm 3.53-3.55, 4 Tb 3.55-3.61, 2 Ho 3.55-3.58, 4 Nd 3.57-3.61
Tb4 0.2508 0.2518 0.0041  2 Tm 3.54-3.55, 4 Tb 3.55-3.61, 2 Ho 3.55-3.58, 4 Nd 3.57-3.61
Tb5 0.7475 0.7481 0.5007  2 Tm 3.53-3.55, 4 Tb 3.55-3.61, 2 Ho 3.56-3.58, 4 Nd 3.57-3.61
Tb6 0.7574 0.2519 0.0041  2 Tm 3.54-3.55, 4 Tb 3.55-3.61, 2 Ho 3.55-3.58, 4 Nd 3.57-3.61
Tb7 0.2426 0.7481 0.9959  2 Tm 3.54-3.55, 4 Tb 3.55-3.61, 2 Ho 3.55-3.58, 4 Nd 3.57-3.61
Tb8 0.7461 0.2519 0.4994  2 Tm 3.53-3.55, 4 Tb 3.55-3.61, 2 Ho 3.55-3.58, 4 Nd 3.57-3.61
Tm1 0.0000 0.0000 0.0000  8 Tb 3.55, 2 Nd 3.58, 2 Tm 3.58
Tm2 0.5000 0.5000 0.5000  8 Tb 3.53-3.54, 2 Ho 3.58, 2 Tm 3.58
Ho1 0.0000 0.5000 0.5000  8 Tb 3.58, 4 Nd 3.58
Ho2 0.0000 0.5000 0.0000  8 Tb 3.55-3.56, 2 Tm 3.58, 2 Nd 3.58

Final energy, eV per atom: -4.62
Theoretical density, g/cm3: 8.07
Symmetry: P2/m, No. 10
Energy relative to the elements, meV per atom: 17
Density of states at the Fermi level, states/eV per cell: 20.8

***

# 7
Material: TbNdHo5Tm2
Method: DFT, GGA-PBE
State: optimized geometry

a = 5.5760 Å, b = 10.2641 Å, c = 10.4959 Å
α = 90.00°, β = 90.00°, γ = 105.76°
With the nearest neighbours (Å) after each atom.
Fractional positions:
Nd1 0.5839 0.1679 0.9500  5 Ho 3.04-3.25
Nd2 0.4161 0.8321 0.4500  5 Ho 3.04-3.25
Tm1 0.1135 0.2271 0.3192  9 Ho 3.31-3.62, 1 Tb 3.64
Tm2 0.1107 0.2215 0.7357  7 Ho 3.36-3.72, 1 Tb 3.39, 2 Nd 3.62
Tm3 0.8893 0.7785 0.2357  7 Ho 3.36-3.72, 1 Tb 3.39, 2 Nd 3.62
Tm4 0.8865 0.7729 0.8192  9 Ho 3.31-3.62, 1 Tb 3.64
Ho1 0.7190 0.4381 0.8120  1 Nd 3.04, 1 Tm 3.31, 2 Ho 3.38
Ho2 0.2810 0.5619 0.3120  1 Nd 3.04, 1 Tm 3.31, 2 Ho 3.38
Ho3 0.7014 0.4027 0.2094  4 Ho 3.38-3.75, 3 Tb 3.47-3.74, 3 Tm 3.48-3.72, 1 Nd 3.58
Ho4 0.3887 0.7774 0.0235  6 Ho 3.46-3.77, 4 Tm 3.52-3.57, 1 Tb 3.74
Ho5 0.9826 0.9652 0.5251  2 Nd 3.18, 3 Tm 3.36-3.55
Ho6 0.0174 0.0348 0.0251  2 Nd 3.18, 3 Tm 3.36-3.55
Ho7 0.4779 0.9558 0.7366  2 Nd 3.07-3.25, 2 Tm 3.43
Ho8 0.2986 0.5973 0.7094  4 Ho 3.38-3.75, 3 Tb 3.47-3.74, 3 Tm 3.48-3.72, 1 Nd 3.58
Ho9 0.5221 0.0442 0.2366  2 Nd 3.07-3.25, 2 Tm 3.43
Ho10 0.6113 0.2226 0.5235  6 Ho 3.46-3.77, 4 Tm 3.52-3.57, 1 Tb 3.74
Tb1 0.8004 0.6009 0.5125  2 Tm 3.39-3.64, 8 Ho 3.47-3.74, 2 Nd 3.66
Tb2 0.1996 0.3991 0.0125  2 Tm 3.39-3.64, 8 Ho 3.47-3.74, 2 Nd 3.66

Final energy, eV per atom: -4.42
Theoretical density, g/cm3: 8.42
Symmetry: Cmc2_1, No. 36
Energy relative to the elements, meV per atom: 164
Density of states at the Fermi level, states/eV per cell: 28.9

***

# 8
Material: Tb2Nd4HoTm2
Method: DFT, GGA-PBE
State: optimized geometry

a = 5.0832 Å, b = 8.0510 Å, c = 8.0214 Å
α = 107.51°, β = 90.00°, γ = 108.40°
With the nearest neighbours (Å) after each atom.
Fractional positions:
Tm1 0.6673 0.3346 0.9997  5 Nd 3.56-3.60, 3 Tb 3.57, 2 Tm 3.58, 2 Ho 3.61
Tm2 0.3327 0.6654 0.0003  5 Nd 3.56-3.60, 3 Tb 3.57, 2 Tm 3.58, 2 Ho 3.61
Ho1 0.0000 0.0000 0.0000  2 Tb 3.57, 6 Nd 3.57-3.59, 4 Tm 3.61
Nd1 0.7774 0.5549 0.6693  3 Tm 3.56-3.58, 1 Ho 3.59, 3 Tb 3.59-3.64, 5 Nd 3.62-3.63
Nd2 0.5541 0.1083 0.3304  2 Tm 3.57-3.60, 2 Ho 3.57, 4 Tb 3.59-3.63, 4 Nd 3.60-3.63
Nd3 0.2226 0.4451 0.3307  3 Tm 3.56-3.58, 1 Ho 3.59, 3 Tb 3.59-3.64, 5 Nd 3.62-3.63
Nd4 0.4459 0.8917 0.6696  2 Tm 3.57-3.60, 2 Ho 3.57, 4 Tb 3.59-3.63, 4 Nd 3.60-3.63
Tb1 0.8884 0.7769 0.3297  3 Tm 3.57, 1 Ho 3.57, 7 Nd 3.59-3.64, 1 Tb 3.63
Tb2 0.1116 0.2231 0.6703  3 Tm 3.57, 1 Ho 3.57, 7 Nd 3.59-3.64, 1 Tb 3.63

Final energy, eV per atom: -4.63
Theoretical density, g/cm3: 7.86
Symmetry: C2/m, No. 12
Energy relative to the elements, meV per atom: 23
Density of states at the Fermi level, states/eV per cell: 13.7